# 1
A relaxed structure of CuSi2As. Source: Alexandria via LeMat-Bulk, functional PBE.

DOS at the Fermi energy	0.419	states/eV/atom
space group	Cmm2 (35)
energy relative to the elements, uncorrected	0.390	eV per atom

a = 2.7248 Å, b = 2.7248 Å, c = 8.5259 Å
α = 90.00°, β = 90.00°, γ = 97.35°
Atoms (fractional coordinates):
1 As 0.0000 0.0000 0.5331
2 Cu 0.5000 0.5000 0.7759
3 Si 0.0000 0.0000 0.9829
4 Si 0.5000 0.5000 0.2081

# 2
A relaxed structure of MgCd3Pt4. Source: Alexandria via LeMat-Bulk, functional PBE.

DOS at the Fermi energy	0.217	states/eV/atom
space group	P4/mmm (123)
formation energy	-359	kJ/mol of formula units

a = 3.0067 Å, b = 3.0067 Å, c = 15.1483 Å
α = 90.00°, β = 90.00°, γ = 90.00°
Atoms (fractional coordinates):
1 Mg 0.5000 0.5000 0.0000
2 Pt 0.0000 0.0000 0.8859
3 Pt 0.0000 0.0000 0.1141
4 Pt 0.0000 0.0000 0.3719
5 Pt 0.0000 0.0000 0.6281
6 Cd 0.5000 0.5000 0.2441
7 Cd 0.5000 0.5000 0.5000
8 Cd 0.5000 0.5000 0.7559

# 3
A relaxed structure of Sm4Y3Se8. Source: Alexandria via LeMat-Bulk, functional PBE.

DOS at the Fermi energy	0.433	states/eV/atom
space group	C2/m (12)
energy relative to the elements, uncorrected	-1.853	eV per atom

a = 8.2441 Å, b = 8.2393 Å, c = 8.2393 Å
α = 89.98°, β = 120.05°, γ = 120.05°
Atoms (fractional coordinates):
1 Sm 0.5000 0.0000 0.0000
2 Sm 0.0000 0.5000 0.0000
3 Sm 0.0000 0.0000 0.0000
4 Sm 0.0000 0.0000 0.5000
5 Y 0.5000 0.5000 0.0000
6 Y 0.5000 0.0000 0.5000
7 Y 0.5000 0.5000 0.5000
8 Se 0.5107 0.2578 0.2578
9 Se 0.0000 0.7448 0.2552
10 Se 0.0050 0.2575 0.2575
11 Se 0.5000 0.7475 0.2525
12 Se 0.5000 0.2525 0.7475
13 Se 0.9950 0.7425 0.7425
14 Se 0.0000 0.2552 0.7448
15 Se 0.4893 0.7422 0.7422

# 4
A relaxed structure of AcPrY2Se4. Source: Alexandria via LeMat-Bulk, functional PBE.

DOS at the Fermi energy	0.468	states/eV/atom
space group	P2/m (10)
energy relative to the elements, uncorrected	-1.805	eV per atom

a = 4.1362 Å, b = 7.5659 Å, c = 7.1970 Å
α = 71.61°, β = 90.00°, γ = 90.00°
Atoms (fractional coordinates):
1 Ac 0.5000 0.5000 0.0000
2 Pr 0.0000 0.5000 0.5000
3 Y 0.0000 0.0000 0.0000
4 Y 0.5000 0.0000 0.5000
5 Se 0.0000 0.7751 0.7372
6 Se 0.0000 0.2249 0.2628
7 Se 0.5000 0.7713 0.2468
8 Se 0.5000 0.2287 0.7532

# 5
A relaxed structure of Sm3ThCd4. Source: Alexandria via LeMat-Bulk, functional PBE.

DOS at the Fermi energy	1.322	states/eV/atom
space group	Pmma (51)
formation energy	-187	kJ/mol of formula units

a = 5.3852 Å, b = 7.6938 Å, c = 10.7691 Å
α = 90.00°, β = 90.00°, γ = 90.00°
Each line ends with the local moment (μB).
Atoms (fractional coordinates):
1 Th 0.0000 0.5000 0.0000  0.05
2 Th 0.0000 0.5000 0.5000  0.05
3 Sm 0.0000 0.0000 0.0000  0.12
4 Sm 0.0000 0.0000 0.5000  0.12
5 Sm 0.5009 0.0000 0.7500  0.10
6 Sm 0.4991 0.0000 0.2500  0.10
7 Sm 0.5011 0.5000 0.7500  0.02
8 Sm 0.4989 0.5000 0.2500  0.02
9 Cd 0.5000 0.7533 0.0000  0.01
10 Cd 0.5000 0.7533 0.5000  0.01
11 Cd 0.5000 0.2467 0.0000  0.01
12 Cd 0.5000 0.2467 0.5000  0.01
13 Cd 0.0012 0.7533 0.7500  0.01
14 Cd 0.9988 0.7533 0.2500  0.01
15 Cd 0.9988 0.2467 0.2500  0.01
16 Cd 0.0012 0.2467 0.7500  0.01

# 6
A relaxed structure of Rb2PmInTe4. Source: Alexandria via LeMat-Bulk, functional PBE.

DOS at the Fermi energy	0.229	states/eV/atom
space group	Imma (74)
energy relative to the elements, uncorrected	-0.927	eV per atom

a = 9.5607 Å, b = 9.5607 Å, c = 9.5762 Å
α = 120.04°, β = 120.04°, γ = 90.90°
Atoms (fractional coordinates):
1 Rb 0.5000 0.0000 0.0000
2 Rb 0.5000 0.0000 0.5000
3 Rb 0.0000 0.0000 0.5000
4 Rb 0.5000 0.5000 0.0000
5 Pm 0.0000 0.5000 0.0000
6 Pm 0.0000 0.5000 0.5000
7 In 0.5000 0.5000 0.5000
8 In 0.0000 0.0000 0.0000
9 Te 0.2076 0.7381 0.9728
10 Te 0.7619 0.2924 0.5272
11 Te 0.2381 0.7075 0.4728
12 Te 0.7925 0.2619 0.0272
13 Te 0.7638 0.7368 0.9592
14 Te 0.7632 0.7362 0.5408
15 Te 0.2368 0.2638 0.4592
16 Te 0.2362 0.2632 0.0408

# 7
A relaxed structure of LaNd2Ga. Source: Alexandria via LeMat-Bulk, functional PBE.

DOS at the Fermi energy	1.054	states/eV/atom
space group	R-3m (166)
formation energy	-22	kJ/mol of formula units

a = 5.0418 Å, b = 5.0418 Å, c = 6.3338 Å
α = 66.55°, β = 66.55°, γ = 60.00°
Atoms (fractional coordinates):
1 Nd 0.2713 0.2713 0.1860
2 Nd 0.7287 0.7287 0.8140
3 Ga 0.0000 0.0000 0.0000
4 La 0.5000 0.5000 0.5000

# 8
A relaxed structure of LaDyAl. Source: Alexandria via LeMat-Bulk, functional PBE.

DOS at the Fermi energy	0.713	states/eV/atom
space group	P3m1 (156)
formation energy	-42	kJ/mol of formula units

a = 3.7065 Å, b = 5.1467 Å, c = 5.1467 Å
α = 120.00°, β = 90.00°, γ = 90.00°
Atoms (fractional coordinates):
1 La 0.3527 0.3333 0.6667
2 Al 0.7177 0.6667 0.3333
3 Dy 0.9296 0.0000 0.0000

# 9
A relaxed structure of Rb3Er2USe6. Source: Alexandria via LeMat-Bulk, functional PBE.

DOS at the Fermi energy	0.810	states/eV/atom
space group	C2/m (12)
energy relative to the elements, uncorrected	-1.536	eV per atom

a = 7.3520 Å, b = 7.3520 Å, c = 8.3768 Å
α = 98.41°, β = 98.41°, γ = 120.00°
Each line ends with the local moment (μB).
Atoms (fractional coordinates):
1 Rb 0.1662 0.8338 0.5000  0.00
2 Rb 0.8338 0.1662 0.5000  0.00
3 Rb 0.5000 0.5000 0.5000  0.00
4 Er 0.3333 0.6667 0.0000  0.06
5 Er 0.6667 0.3333 0.0000  0.06
6 U 0.0000 0.0000 0.0000  2.71
7 Se 0.9347 0.5955 0.8042  -0.02
8 Se 0.7260 0.7260 0.1957  -0.02
9 Se 0.0653 0.4045 0.1958  -0.02
10 Se 0.5955 0.9347 0.8042  -0.02
11 Se 0.2740 0.2740 0.8043  -0.02
12 Se 0.4045 0.0653 0.1958  -0.02

# 10
A relaxed structure of BiP2OsO. Source: Alexandria via LeMat-Bulk, functional PBE.

DOS at the Fermi energy	0.616	states/eV/atom
space group	P4/mmm (123)
energy relative to the elements, uncorrected	0.043	eV per atom

a = 4.9182 Å, b = 4.9182 Å, c = 3.7154 Å
α = 90.00°, β = 90.00°, γ = 90.00°
Atoms (fractional coordinates):
1 P 0.0000 0.5000 0.0000
2 P 0.5000 0.0000 0.0000
3 Os 0.0000 0.0000 0.0000
4 Bi 0.5000 0.5000 0.5000
5 O 0.0000 0.0000 0.5000

# 11
A relaxed structure of KRe2Tc. Source: Alexandria via LeMat-Bulk, functional PBE.

DOS at the Fermi energy	1.054	states/eV/atom
space group	P4/mmm (123)
formation energy	340	kJ/mol of formula units

a = 2.7766 Å, b = 2.7766 Å, c = 9.7292 Å
α = 90.00°, β = 90.00°, γ = 90.00°
Atoms (fractional coordinates):
1 K 0.5000 0.5000 0.7500
2 Re 0.0000 0.0000 0.0595
3 Re 0.0000 0.0000 0.4405
4 Tc 0.5000 0.5000 0.2500

# 12
A relaxed structure of TaAlBr. Source: Alexandria via LeMat-Bulk, functional PBE.

DOS at the Fermi energy	0.892	states/eV/atom
space group	P-6m2 (187)
energy relative to the elements, uncorrected	0.334	eV per atom

a = 4.6568 Å, b = 4.6568 Å, c = 2.9913 Å
α = 90.00°, β = 90.00°, γ = 120.00°
Atoms (fractional coordinates):
1 Al 0.0000 0.0000 0.9999
2 Br 0.6667 0.3333 0.5003
3 Ta 0.3333 0.6667 0.4999

# 13
A relaxed structure of TmFeGe2Ru. Source: Alexandria via LeMat-Bulk, functional PBE.

DOS at the Fermi energy	0.986	states/eV/atom
space group	I-4m2 (119)
formation energy	-247	kJ/mol of formula units

a = 4.0812 Å, b = 4.0812 Å, c = 5.8223 Å
α = 110.52°, β = 110.52°, γ = 90.00°
Each line ends with the local moment (μB).
Atoms (fractional coordinates):
1 Tm 0.0000 0.0000 0.0000  -0.02
2 Fe 0.7500 0.2500 0.5000  1.18
3 Ge 0.6249 0.6249 0.2497  -0.03
4 Ge 0.3751 0.3751 0.7503  -0.03
5 Ru 0.2500 0.7500 0.5000  0.02

# 14
A relaxed structure of Gd2InO. Source: Alexandria via LeMat-Bulk, functional PBE.

DOS at the Fermi energy	0.561	states/eV/atom
space group	R-3m (166)
energy relative to the elements, uncorrected	-1.559	eV per atom

a = 3.6031 Å, b = 3.6031 Å, c = 8.0669 Å
α = 77.10°, β = 77.10°, γ = 60.00°
Each line ends with the local moment (μB).
Atoms (fractional coordinates):
1 Gd 0.2760 0.2760 0.1720  6.97
2 Gd 0.7240 0.7240 0.8280  6.97
3 O 0.0000 0.0000 0.0000  -0.04
4 In 0.5000 0.5000 0.5000  -0.03

# 15
A relaxed structure of CeYCuPt. Source: Alexandria via LeMat-Bulk, functional PBE.

DOS at the Fermi energy	1.721	states/eV/atom
space group	Amm2 (38)
formation energy	-262	kJ/mol of formula units

a = 3.7794 Å, b = 4.5543 Å, c = 5.5974 Å
α = 90.00°, β = 109.73°, γ = 90.00°
Each line ends with the local moment (μB).
Atoms (fractional coordinates):
1 Ce 0.8616 0.5000 0.7232  0.53
2 Y 0.1392 0.0000 0.2783  0.02
3 Cu 0.4202 0.0000 0.8403  0.00
4 Pt 0.5791 0.5000 0.1582  -0.01

# 16
A relaxed structure of IrRh2Br. Source: Alexandria via LeMat-Bulk, functional PBE.

DOS at the Fermi energy	1.218	states/eV/atom
space group	Immm (71)
energy relative to the elements, uncorrected	0.740	eV per atom

a = 5.4704 Å, b = 5.4704 Å, c = 5.4704 Å
α = 150.17°, β = 128.21°, γ = 60.92°
Atoms (fractional coordinates):
1 Ir 0.2500 0.7500 0.5000
2 Rh 0.0070 0.0070 0.0000
3 Rh 0.4930 0.4930 0.0000
4 Br 0.7500 0.2500 0.5000

# 17
A relaxed structure of Tb4SiAsSe2. Source: Alexandria via LeMat-Bulk, functional PBE.

DOS at the Fermi energy	0.172	states/eV/atom
space group	P2/m (10)
energy relative to the elements, uncorrected	-1.542	eV per atom

a = 4.1264 Å, b = 7.1706 Å, c = 7.1529 Å
α = 70.66°, β = 90.00°, γ = 90.00°
Atoms (fractional coordinates):
1 Tb 0.0000 0.7366 0.7504
2 Tb 0.0000 0.2634 0.2496
3 Tb 0.5000 0.7367 0.2579
4 Tb 0.5000 0.2633 0.7421
5 Si 0.0000 0.5000 0.5000
6 As 0.5000 0.5000 0.0000
7 Se 0.0000 0.0000 0.0000
8 Se 0.5000 0.0000 0.5000

# 18
A relaxed structure of LiBeGaF6. Source: Alexandria via LeMat-Bulk, functional PBE.

DOS at the Fermi energy	0.000	states/eV/atom
space group	P-31c (163)
energy relative to the elements, uncorrected	-2.816	eV per atom

a = 4.8320 Å, b = 4.8320 Å, c = 9.0101 Å
α = 90.00°, β = 90.00°, γ = 120.00°
Atoms (fractional coordinates):
1 Li 0.0000 0.0000 0.0000
2 Li 0.0000 0.0000 0.5000
3 Be 0.6667 0.3333 0.2500
4 Be 0.3333 0.6667 0.7500
5 Ga 0.3333 0.6667 0.2500
6 Ga 0.6667 0.3333 0.7500
7 F 0.6530 0.6309 0.1389
8 F 0.9779 0.3470 0.1389
9 F 0.3470 0.9779 0.6389
10 F 0.0221 0.6530 0.8611
11 F 0.3691 0.3470 0.3611
12 F 0.9779 0.6309 0.3611
13 F 0.6309 0.9779 0.8611
14 F 0.6530 0.0221 0.3611
15 F 0.0221 0.3691 0.6389
16 F 0.3691 0.0221 0.1389
17 F 0.6309 0.6530 0.6389
18 F 0.3470 0.3691 0.8611

# 19
A relaxed structure of CaTaPt3. Source: Alexandria via LeMat-Bulk, functional PBE.

DOS at the Fermi energy	0.688	states/eV/atom
space group	Pm-3m (221)
formation energy	-8	kJ/mol of formula units

a = 4.9367 Å, b = 4.9367 Å, c = 4.9367 Å
α = 90.00°, β = 90.00°, γ = 90.00°
Atoms (fractional coordinates):
1 Ca 0.5000 0.5000 0.5000
2 Pt 0.0000 0.5000 0.0000
3 Pt 0.0000 0.0000 0.5000
4 Pt 0.5000 0.0000 0.0000
5 Ta 0.0000 0.0000 0.0000

# 20
A relaxed structure of TiAsIN2. Source: Alexandria via LeMat-Bulk, functional PBE.

DOS at the Fermi energy	0.722	states/eV/atom
space group	P4/mmm (123)
energy relative to the elements, uncorrected	0.692	eV per atom

a = 3.9740 Å, b = 3.9740 Å, c = 5.9333 Å
α = 90.00°, β = 90.00°, γ = 90.00°
Atoms (fractional coordinates):
1 I 0.0000 0.0000 0.5000
2 As 0.5000 0.5000 0.5000
3 N 0.0000 0.5000 0.0000
4 N 0.5000 0.0000 0.0000
5 Ti 0.0000 0.0000 0.0000